Entry 1:
A relaxed InGaBr crystal, computed with PBE.

```
6
Lattice="-1.358 -3.485 0.998 5.231 -1.072 -4.518 2.598 1.034 7.261" Properties=species:S:1:pos:R:3 pbc="T T T"
In 1.239 -2.606 5.814
In 5.507 -0.909 2.312
Ga 3.752 -2.978 0.199
Ga 3.000 -1.741 3.589
Br 1.662 -1.843 1.305
Br 3.523 -1.373 -2.033
```

- V (Å³/atom) = 30.94
- excess energy over the best structure of this formula in the dataset (meV/atom) = 43
- VASP energy (eV per atom) = -2.7425
- total magnetic moment (μB per cell) = 0.00

Entry 2:
A relaxed In2GaBr8 crystal, computed with PBE.

```
11
Lattice="6.749 -0.087 -0.074 0.782 8.246 0.322 0.782 1.596 8.097" Properties=species:S:1:pos:R:3 pbc="T T T"
In 2.695 1.947 1.665
In 5.619 7.809 6.679
Ga 0.000 0.000 0.000
Br 5.889 1.856 5.778
Br 2.424 3.760 7.406
Br 5.257 1.750 1.497
Br 3.056 8.005 6.847
Br 5.889 5.996 0.938
Br 2.424 7.899 2.566
Br 2.155 3.789 3.241
Br 6.158 5.966 5.103
```

- V (Å³/atom) = 40.73
- VASP energy (eV per atom) = -2.6870
- total magnetic moment (μB per cell) = 0.57

Entry 3:
A relaxed In2GaBr5 crystal, computed with PBE.

```
8
Lattice="-0.967 8.168 -0.435 -3.110 -2.991 -7.099 -2.677 -2.286 6.691" Properties=species:S:1:pos:R:3 pbc="T T T"
In -3.073 -1.903 -2.501
In -2.318 4.080 0.314
Ga -5.568 -4.611 -0.065
Br -4.119 2.902 4.477
Br -1.804 0.987 -0.829
Br -4.074 4.173 -5.535
Br -4.997 -2.552 1.015
Br -4.747 3.078 -1.960
```

- V (Å³/atom) = 45.08
- VASP energy (eV per atom) = -2.8526
- total magnetic moment (μB per cell) = 0.00

Entry 4:
A relaxed In2GaBr crystal, computed with PBE.

```
4
Lattice="-2.576 0.279 -2.624 -0.461 -4.967 -0.076 -4.283 0.333 4.239" Properties=species:S:1:pos:R:3 pbc="T T T"
In -3.429 0.306 0.807
In -1.288 0.140 -1.312
Ga -0.231 -2.483 -0.038
Br -2.372 -2.317 2.082
```

- V (Å³/atom) = 27.76
- excess energy over the best structure of this formula in the dataset (meV/atom) = 32
- VASP energy (eV per atom) = -2.7124
- total magnetic moment (μB per cell) = 0.00

Entry 5:
A relaxed In2GaBr crystal, computed with PBE.

```
4
Lattice="-0.046 2.942 -2.079 -1.391 -1.932 -2.704 -7.470 1.726 2.610" Properties=species:S:1:pos:R:3 pbc="T T T"
Ga -0.719 0.505 -2.391
Br -4.454 1.368 -1.086
In -5.775 1.334 2.017
In -1.695 0.392 0.592
```

- V (Å³/atom) = 26.28
- excess energy over the best structure of this formula in the dataset (meV/atom) = 80
- VASP energy (eV per atom) = -2.6648
- total magnetic moment (μB per cell) = 0.00

Entry 6:
A relaxed InGaBr4 crystal, computed with PBE.

```
24
Lattice="-5.785 -3.689 -3.698 5.468 -7.218 -1.354 -1.966 -7.709 10.766" Properties=species:S:1:pos:R:3 pbc="T T T"
In -5.775 -5.297 -0.686
In -1.975 -6.101 7.754
In -0.251 -7.127 0.421
In -2.031 -11.489 5.294
Ga -4.011 -8.442 2.982
Ga -1.719 -15.601 6.539
Ga 1.729 -10.174 2.732
Ga -0.563 -3.015 -0.825
Br 2.380 -7.893 2.742
Br 1.113 -3.813 0.653
Br -4.662 -10.723 2.973
Br -3.395 -14.803 5.061
Br -0.357 -13.790 7.198
Br -2.135 -8.188 4.393
Br -1.925 -4.826 -1.484
Br -0.146 -10.428 1.322
Br -3.454 -7.756 0.772
Br -0.772 -8.872 -2.311
Br 1.172 -10.860 4.942
Br -1.510 -9.744 8.026
Br -1.886 -4.236 3.367
Br 3.689 -8.547 -1.053
Br -0.396 -14.380 2.347
Br -5.971 -10.069 6.767
```

- V (Å³/atom) = 38.57
- excess energy over the best structure of this formula in the dataset (meV/atom) = 0
- VASP energy (eV per atom) = -2.8863
- total magnetic moment (μB per cell) = 0.00

Entry 7:
A relaxed InGaBr crystal, computed with PBE.

```
12
Lattice="5.986 0.000 -0.007 0.000 10.424 0.000 -3.017 0.000 5.393" Properties=species:S:1:pos:R:3 pbc="T T T"
In 3.356 0.026 1.494
In -1.145 10.398 4.194
In 1.848 5.238 4.191
In 0.363 5.186 1.498
Ga 1.136 7.806 0.178
Ga 2.620 2.617 2.871
Ga -0.373 2.594 2.875
Ga 4.128 7.829 0.175
Br 2.633 3.771 0.157
Br 4.117 6.653 2.850
Br 1.125 8.983 2.854
Br 5.626 1.441 0.154
```

- V (Å³/atom) = 28.02
- excess energy over the best structure of this formula in the dataset (meV/atom) = 54
- VASP energy (eV per atom) = -2.7307
- total magnetic moment (μB per cell) = 0.00

Entry 8:
A relaxed InGa2Br3 crystal, computed with PBE.

```
12
Lattice="-1.741 2.089 -3.165 -7.503 0.716 4.600 10.013 9.227 0.583" Properties=species:S:1:pos:R:3 pbc="T T T"
In -1.076 3.939 1.817
In 1.845 8.093 0.201
Ga 4.865 10.179 2.668
Ga -4.096 1.853 -0.650
Ga 2.701 5.748 -1.818
Ga -1.933 6.284 3.836
Br -4.098 4.382 1.021
Br 4.866 7.650 0.998
Br 2.292 10.716 1.687
Br -1.524 1.316 0.332
Br 1.927 4.027 0.223
Br -1.158 8.004 1.795
```

- V (Å³/atom) = 35.03
- excess energy over the best structure of this formula in the dataset (meV/atom) = 25
- VASP energy (eV per atom) = -2.8373
- total magnetic moment (μB per cell) = 0.00

Among the records above, which one has the highest V? In2GaBr5

Look up the VASP energy of the seventh one. -2.7307 eV per atom